! Y2TaPt, relaxed, DFT PBE; values from VASP
! Distance to the lowest polymorph of the same formula   299 meV/atom
! V   25.66 A^3/atom
! Size of the total moment   0.00 μB per cell
&SYSTEM
  ibrav = 0, nat = 12, ntyp = 3
/
ATOMIC_SPECIES
Y 88.91 Y.upf
Ta 180.95 Ta.upf
Pt 195.08 Pt.upf
ATOMIC_POSITIONS angstrom
Y 0.0000 0.0000 0.0000
Y 0.0000 0.0000 6.1837
Y 0.0000 2.0559 18.6909
Y 0.0000 2.0559 24.8747
Y 1.7805 1.0280 9.3455
Y 1.7805 1.0280 15.5292
Ta 0.0000 0.0000 13.0009
Ta 0.0000 2.0559 3.6554
Ta 1.7805 1.0280 22.3463
Pt 0.0000 0.0000 20.7638
Pt 0.0000 2.0559 11.4184
Pt 1.7805 1.0280 2.0729
CELL_PARAMETERS angstrom
3.5610 0.0000 0.0000
-1.7805 3.0839 0.0000
0.0000 0.0000 28.0364


! YTa2Pt, relaxed, DFT PBE; values from VASP
! Distance to the lowest polymorph of the same formula   226 meV/atom
! V   19.26 A^3/atom
! Size of the total moment   0.00 μB per cell
&SYSTEM
  ibrav = 0, nat = 8, ntyp = 3
/
ATOMIC_SPECIES
Y 88.91 Y.upf
Ta 180.95 Ta.upf
Pt 195.08 Pt.upf
ATOMIC_POSITIONS angstrom
Y 0.0000 0.0000 0.0000
Y 2.8130 4.9646 0.0000
Ta 0.9241 2.4823 1.3788
Ta 0.9241 7.4469 1.3788
Ta 3.7370 2.4823 1.3788
Ta 3.7370 7.4469 1.3788
Pt 0.0000 4.9646 0.0000
Pt 2.8130 0.0000 0.0000
CELL_PARAMETERS angstrom
5.6259 0.0000 0.0000
0.0000 9.9292 0.0000
-0.9648 0.0000 2.7576


! YTa2Pt, relaxed, DFT PBE; values from VASP
! Distance to the lowest polymorph of the same formula   198 meV/atom
! V   19.75 A^3/atom
! Size of the total moment   0.00 μB per cell
&SYSTEM
  ibrav = 0, nat = 4, ntyp = 3
/
ATOMIC_SPECIES
Y 88.91 Y.upf
Ta 180.95 Ta.upf
Pt 195.08 Pt.upf
ATOMIC_POSITIONS angstrom
Y 0.0000 0.0000 0.0000
Ta -0.2011 2.2316 4.1403
Ta 0.7713 0.0000 2.9414
Pt 1.7012 2.2316 1.5237
CELL_PARAMETERS angstrom
2.9932 0.0000 0.0000
0.0000 4.4632 0.0000
-1.3918 0.0000 5.9131